Entry 1:
A geometry-optimized ScCoOF2 structure, computed with GGA-PBEsol.

Output
The density of states at the Fermi level comes out at 3.5 states/eV/f.u. The calculation puts the size of the total moment at 1.41 μB per formula unit. As for the symmetry: P4/mmm. Its uncorrected formation energy is -8.2 eV/f.u.

Unit cell a=3.7448 b=3.8948 c=3.8948 alpha=90.00 beta=90.00 gamma=90.00
Atoms (fractional coordinates):
F 0.0000 0.0000 0.5000
Sc 0.5000 0.5000 0.5000
F 0.0000 0.5000 0.0000
Co 0.0000 0.0000 0.0000
O 0.5000 0.0000 0.0000

Entry 2:
A geometry-optimized Li2CdIr structure, computed with GGA-PBEsol.

Output
The density of states at the Fermi level comes out at 1.5 states/eV/f.u. The calculation puts the size of the total moment at 0.00 μB per formula unit. As for the symmetry: F-43m. The energy of formation from the pure elements is -2.7 kJ per mole of atoms.

Unit cell a=4.4046 b=4.4046 c=4.4046 alpha=60.00 beta=60.00 gamma=60.00
Atoms (fractional coordinates):
Li 0.0000 0.0000 0.0000
Li 0.7500 0.7500 0.7500
Ir 0.2500 0.2500 0.2500
Cd 0.5000 0.5000 0.5000

Entry 3:
A geometry-optimized K2RbNa structure, computed with GGA-PBEsol.

Output
The value obtained for the polymorph energy (0 for the lowest one) is 0.061 eV/atom. The density of states at the Fermi level comes out at 2.8 states/eV/f.u. The calculation puts the size of the total moment at 0.00 μB per formula unit. As for the symmetry: I-42d. The energy of formation from the pure elements is 8.0 kJ per mole of atoms.

Unit cell a=5.9469 b=5.9469 c=15.6731 alpha=100.94 beta=100.94 gamma=90.00
Atoms (fractional coordinates):
Na 0.7500 0.2500 0.5000
K 0.6250 0.6092 0.7500
K 0.3908 0.8750 0.2500
Rb 0.2500 0.7500 0.5000
Na 0.5000 0.5000 0.0000
K 0.1250 0.1408 0.7500
K 0.8592 0.3750 0.2500
Rb 0.0000 0.0000 0.0000

Entry 4:
A geometry-optimized Co2ReMo structure, computed with GGA-PBEsol.

Output
The value obtained for the polymorph energy (0 for the lowest one) is 0.071 eV/atom. The density of states at the Fermi level comes out at 3.4 states/eV/f.u. The calculation puts the size of the total moment at 0.01 μB per formula unit. As for the symmetry: P4/mmm. The energy of formation from the pure elements is -0.4 kJ per mole of atoms.

Unit cell a=3.6660 b=3.6710 c=3.6710 alpha=90.00 beta=90.00 gamma=90.00
Atoms (fractional coordinates):
Co 0.0000 0.0000 0.5000
Mo 0.5000 0.5000 0.5000
Co 0.0000 0.5000 0.0000
Re 0.5000 0.0000 0.0000

Entry 5:
A geometry-optimized Be5Tc structure, computed with GGA-PBEsol.

Output
The value obtained for the polymorph energy (0 for the lowest one) is 0.000 eV/atom. The density of states at the Fermi level comes out at 2.0 states/eV/f.u. The calculation puts the size of the total moment at 0.00 μB per formula unit. As for the symmetry: P6/mmm. The energy of formation from the pure elements is -13.5 kJ per mole of atoms.

Unit cell a=3.3513 b=4.2144 c=4.2144 alpha=120.00 beta=90.00 gamma=90.00
Atoms (fractional coordinates):
Be 0.0000 0.0000 0.5000
Be 0.5000 0.6667 0.3333
Tc 0.5000 0.0000 0.0000
Be 0.5000 0.3333 0.6667
Be 0.0000 0.5000 0.5000
Be 0.0000 0.5000 0.0000

Entry 6:
A geometry-optimized SmTaO4 structure, computed with GGA-PBEsol.

Output
The density of states at the Fermi level comes out at 0.0 states/eV/f.u. The calculation puts the size of the total moment at 0.00 μB per formula unit. As for the symmetry: P2_1/c. Its uncorrected formation energy is -19.5 eV/f.u.

Unit cell a=5.3823 b=7.5317 c=7.6255 alpha=98.94 beta=90.00 gamma=90.00
Atoms (fractional coordinates):
Sm 0.2222 0.6476 0.8955
O 0.9910 0.6144 0.1679
O 0.5090 0.6144 0.6679
O 0.9042 0.0637 0.6931
O 0.3615 0.1664 0.5601
O 0.5958 0.0637 0.1931
Sm 0.2778 0.6476 0.3955
O 0.0071 0.3327 0.3741
Ta 0.7709 0.8352 0.1914
O 0.4910 0.3856 0.3321
O 0.0090 0.3856 0.8321
Ta 0.2291 0.1648 0.8086
O 0.4042 0.9363 0.8069
O 0.9929 0.6673 0.6259
Sm 0.7222 0.3524 0.6045
Ta 0.2709 0.1648 0.3086
Sm 0.7778 0.3524 0.1045
Ta 0.7291 0.8352 0.6914
O 0.0958 0.9363 0.3069
O 0.1385 0.1664 0.0601
O 0.6385 0.8336 0.4399
O 0.8615 0.8336 0.9399
O 0.4929 0.3327 0.8741
O 0.5071 0.6673 0.1259

Entry 7:
A geometry-optimized CeMnSi2Pd structure, computed with GGA-PBEsol.

Output
The density of states at the Fermi level comes out at 4.9 states/eV/f.u. The calculation puts the size of the total moment at 0.02 μB per formula unit. As for the symmetry: I-4m2. Its uncorrected formation energy is -3.6 eV/f.u.

Unit cell a=4.0396 b=4.0396 c=5.6900 alpha=110.79 beta=110.79 gamma=90.00
Atoms (fractional coordinates):
Mn 0.2500 0.7500 0.5000
Ce 0.0000 0.0000 0.0000
Pd 0.7500 0.2500 0.5000
Si 0.3750 0.3750 0.7499
Si 0.6250 0.6250 0.2501

Entry 8:
A geometry-optimized GaSb2Te2 structure, computed with GGA-PBEsol.

Output
The density of states at the Fermi level comes out at 2.3 states/eV/f.u. The calculation puts the size of the total moment at 0.00 μB per formula unit. As for the symmetry: P4/mbm. Its uncorrected formation energy is 0.3 eV/f.u.

Unit cell a=4.2928 b=8.0406 c=8.0406 alpha=90.00 beta=90.00 gamma=90.00
Atoms (fractional coordinates):
Ga 0.0000 0.5000 0.5000
Sb 0.0000 0.1616 0.3384
Sb 0.0000 0.6616 0.1616
Sb 0.0000 0.3384 0.8384
Ga 0.0000 0.0000 0.0000
Te 0.5000 0.6612 0.8388
Te 0.5000 0.1612 0.6612
Te 0.5000 0.3388 0.1612
Te 0.5000 0.8388 0.3388
Sb 0.0000 0.8384 0.6616